No. 1
TaWAu2: optimized geometry, PBE.

a = 2.8918 Å, b = 2.8918 Å, c = 29.1354 Å
α = 90.00°, β = 90.00°, γ = 120.00°
Closest atoms and distances in Å follow each position.
Space group R3m (No. 160, hexagonal axes)
Symmetry-distinct sites (fractional):
1 Ta 0.0000 0.0000 0.0000 (multiplicity 3)  6 Ta 2.89, 3 Au 2.91, 3 W 3.00
2 W 0.0000 0.0000 0.2479 (multiplicity 3)  3 Au 2.88, 6 W 2.89, 3 Ta 3.00
3 Au 0.0000 0.0000 0.5008 (multiplicity 3)  3 W 2.88, 9 Au 2.89-3.00
4 Au 0.0000 0.0000 0.7484 (multiplicity 3)  9 Au 2.89-3.00, 3 Ta 2.91

Summary:
- relative energy among the computed polymorphs (meV per atom) = 166.8
- formation enthalpy at 0 K (eV/atom) = 0.238

No. 2
KGa3Te: optimized geometry, PBE.

a = 5.7729 Å, b = 5.7729 Å, c = 5.7729 Å
α = 90.00°, β = 90.00°, γ = 90.00°
Closest atoms and distances in Å follow each position.
Space group Pm-3m (No. 221)
Symmetry-distinct sites (fractional):
1 K 0.0000 0.0000 0.0000 (multiplicity 1)  12 Ga 4.08
2 Ga 0.0000 0.5000 0.5000 (multiplicity 3)  2 Te 2.89
3 Te 0.5000 0.5000 0.5000 (multiplicity 1)  6 Ga 2.89

Summary:
- uncorrected formation energy (eV per atom) = 0.31
- relative energy among the computed polymorphs (meV per atom) = 0.0

No. 3
CaScB: optimized geometry, PBE.

a = 3.3629 Å, b = 6.2266 Å, c = 7.0478 Å
α = 85.12°, β = 76.26°, γ = 74.38°
Closest atoms and distances in Å follow each position.
Space group P-1 (No. 2)
Symmetry-distinct sites (fractional):
1 Ca 0.1930 0.2470 0.3690 (multiplicity 2)  2 B 2.72
2 Sc 0.4374 0.2341 0.8912 (multiplicity 2)  4 B 2.44-2.45
3 B 0.0831 0.9388 0.8945 (multiplicity 2)  1 B 1.63

Summary:
- relative energy among the computed polymorphs (meV per atom) = 200.2
- formation enthalpy at 0 K (eV/atom) = -0.034

No. 4
HgAs2O6F: optimized geometry, PBE.

a = 12.4743 Å, b = 10.8632 Å, c = 5.1705 Å
α = 90.00°, β = 113.44°, γ = 90.00°
Closest atoms and distances in Å follow each position.
Space group C2/c (No. 15)
Symmetry-distinct sites (fractional):
1 Hg 0.0000 0.2077 0.2500 (multiplicity 4)  4 O 2.30-2.31
2 As 0.2246 0.4164 0.6464 (multiplicity 8)  4 O 1.67-1.79
3 O 0.1302 0.0728 0.1887 (multiplicity 8)  1 As 1.67
4 O 0.1605 0.4698 0.2906 (multiplicity 8)  2 As 1.79
5 O 0.1611 0.2758 0.6312 (multiplicity 8)  1 As 1.71
6 F 0.0000 0.2885 0.7500 (multiplicity 4)  2 O 2.33

Summary:
- uncorrected formation energy (eV per atom) = -0.80

No. 5
PaPd2Pt5: optimized geometry, PBE.

a = 5.7957 Å, b = 8.0918 Å, c = 11.4886 Å
α = 90.00°, β = 90.00°, γ = 90.00°
Closest atoms and distances in Å follow each position.
Space group Fmmm (No. 69)
Symmetry-distinct sites (fractional):
1 Pa 0.0000 0.0000 0.0000 (multiplicity 4)  10 Pt 2.88-2.90, 2 Pd 2.89
2 Pd 0.0000 0.0000 0.2515 (multiplicity 8)  9 Pt 2.86-2.87, 1 Pa 2.89, 2 Pd 2.90
3 Pt 0.0000 0.0000 0.5000 (multiplicity 4)  2 Pd 2.86, 8 Pt 2.88, 2 Pa 2.90
4 Pt 0.2500 0.2500 0.1262 (multiplicity 16)  6 Pt 2.84-2.90, 4 Pd 2.86-2.87, 2 Pa 2.88

Summary:
- relative energy among the computed polymorphs (meV per atom) = 0.0
- formation enthalpy at 0 K (eV/atom) = -0.580

No. 6
HfReBRh2: optimized geometry, PBE.

a = 4.6699 Å, b = 4.6699 Å, c = 4.2387 Å
α = 90.00°, β = 90.00°, γ = 90.00°
Closest atoms and distances in Å follow each position.
Space group P4/mmm (No. 123)
Symmetry-distinct sites (fractional):
1 Hf 0.0000 0.0000 0.0000 (multiplicity 1)  2 B 2.12, 4 Rh 2.33
2 Re 0.5000 0.5000 0.5000 (multiplicity 1)  8 Rh 3.15, 4 B 3.30
3 B 0.0000 0.0000 0.5000 (multiplicity 1)  2 Hf 2.12
4 Rh 0.0000 0.5000 0.0000 (multiplicity 2)  2 Hf 2.33

Summary:
- relative energy among the computed polymorphs (meV per atom) = 2430.6
- formation enthalpy at 0 K (eV/atom) = 1.928

No. 7
PrNdBi: optimized geometry, PBE.

a = 4.3459 Å, b = 5.0316 Å, c = 5.1121 Å
α = 90.00°, β = 90.00°, γ = 90.00°
Closest atoms and distances in Å follow each position.
Space group Pmmm (No. 47)
Symmetry-distinct sites (fractional):
1 Pr 0.0000 0.0000 0.0000 (multiplicity 1)  4 Bi 3.35, 4 Nd 3.59
2 Nd 0.0000 0.5000 0.5000 (multiplicity 1)  4 Bi 3.32, 4 Pr 3.59
3 Bi 0.5000 0.0000 0.5000 (multiplicity 1)  4 Nd 3.32, 4 Pr 3.35

Summary:
- formation enthalpy at 0 K (eV/atom) = -0.394

No. 8
LiAlTl4: optimized geometry, PBE.

a = 8.9914 Å, b = 8.9914 Å, c = 8.9914 Å
α = 90.00°, β = 90.00°, γ = 90.00°
Closest atoms and distances in Å follow each position.
Space group F-43m (No. 216)
Symmetry-distinct sites (fractional):
1 Li 0.0000 0.0000 0.0000 (multiplicity 4)  12 Tl 3.73, 4 Al 3.89
2 Al 0.2500 0.2500 0.2500 (multiplicity 4)  12 Tl 3.73, 4 Li 3.89
3 Tl 0.1250 0.1250 0.6250 (multiplicity 16)  6 Tl 3.18

Summary:
- formation enthalpy at 0 K (eV/atom) = 0.266

No. 9
OsPt4: optimized geometry, PBE.

a = 6.2381 Å, b = 6.2381 Å, c = 3.9371 Å
α = 90.00°, β = 90.00°, γ = 90.00°
Closest atoms and distances in Å follow each position.
Space group I4/m (No. 87)
Symmetry-distinct sites (fractional):
1 Os 0.0000 0.0000 0.0000 (multiplicity 2)  12 Pt 2.78
2 Pt 0.1039 0.7035 0.5000 (multiplicity 8)  9 Pt 2.75-2.85, 3 Os 2.78

Summary:
- relative energy among the computed polymorphs (meV per atom) = 64.1
- formation enthalpy at 0 K (eV/atom) = 0.053

No. 10
U2Bi: optimized geometry, PBE.

a = 10.4201 Å, b = 3.7589 Å, c = 3.8270 Å
α = 90.00°, β = 102.75°, γ = 90.00°
Closest atoms and distances in Å follow each position.
Space group C2/m (No. 12)
Symmetry-distinct sites (fractional):
1 U 0.1911 0.0000 0.1176 (multiplicity 4)  2 U 2.52
2 Bi 0.0000 0.5000 0.5000 (multiplicity 2)  10 U 3.23-3.32

Summary:
- formation enthalpy at 0 K (eV/atom) = -0.035

No. 11
LaHfAg: optimized geometry, PBE.

a = 11.9055 Å, b = 3.3745 Å, c = 7.8643 Å
α = 90.00°, β = 107.28°, γ = 90.00°
Closest atoms and distances in Å follow each position.
Space group Cm (No. 8)
Symmetry-distinct sites (fractional):
1 La 0.0000 0.0000 0.0000 (multiplicity 2)  2 Ag 3.19, 5 Hf 3.24-3.49, 2 La 3.37
2 La 0.0045 0.0000 0.5457 (multiplicity 2)  5 Ag 3.24-3.32, 4 Hf 3.33-3.49, 3 La 3.37-3.59
3 Hf 0.2149 0.5000 0.8813 (multiplicity 2)  2 Ag 2.98, 2 Hf 3.04, 1 La 3.24
4 Hf 0.3222 0.0000 0.2111 (multiplicity 2)  2 Ag 2.96, 2 Hf 3.04
5 Ag 0.1560 0.5000 0.3301 (multiplicity 2)  2 Ag 2.95, 2 Hf 2.96, 4 La 3.19-3.29
6 Ag 0.2943 0.0000 0.6271 (multiplicity 2)  2 Ag 2.95, 2 Hf 2.98, 2 La 3.24

Summary:
- relative energy among the computed polymorphs (meV per atom) = 107.8
- formation enthalpy at 0 K (eV/atom) = 0.073

No. 12
Na2SbPdW: optimized geometry, PBE.

a = 5.5305 Å, b = 5.5305 Å, c = 5.1685 Å
α = 90.00°, β = 90.00°, γ = 90.00°
Closest atoms and distances in Å follow each position.
Space group P4/mmm (No. 123)
Symmetry-distinct sites (fractional):
1 Na 0.0000 0.5000 0.0000 (multiplicity 2)  2 Sb 2.77
2 Sb 0.0000 0.0000 0.0000 (multiplicity 1)  2 W 2.58, 4 Na 2.77
3 Pd 0.5000 0.5000 0.5000 (multiplicity 1)  8 Na 3.78, 4 W 3.91
4 W 0.0000 0.0000 0.5000 (multiplicity 1)  2 Sb 2.58

Summary:
- uncorrected formation energy (eV per atom) = 1.18

No. 13
Pm6TlGa2: optimized geometry, PBE.

a = 8.1952 Å, b = 8.1952 Å, c = 4.5454 Å
α = 90.00°, β = 90.00°, γ = 120.00°
Closest atoms and distances in Å follow each position.
Space group P-62m (No. 189)
Symmetry-distinct sites (fractional):
1 Pm 0.0000 0.4086 0.0000 (multiplicity 3)  1 Tl 3.35, 4 Ga 3.36, 6 Pm 3.42-3.74
2 Pm 0.0000 0.7203 0.5000 (multiplicity 3)  2 Ga 2.98, 2 Tl 3.23
3 Tl 0.0000 0.0000 0.0000 (multiplicity 1)  9 Pm 3.23-3.35
4 Ga 0.3333 0.6667 0.5000 (multiplicity 2)  3 Pm 2.98

Summary:
- formation enthalpy at 0 K (eV/atom) = -0.332

No. 14
Ac8Ge3Te4Br: optimized geometry, PBE.

a = 9.3028 Å, b = 9.3028 Å, c = 23.2169 Å
α = 90.00°, β = 90.00°, γ = 120.00°
Closest atoms and distances in Å follow each position.
Space group R-3m (No. 166, hexagonal axes)
Symmetry-distinct sites (fractional):
1 Ac 0.0000 0.0000 0.2415 (multiplicity 6)  3 Ge 3.20, 3 Te 3.43
2 Ac 0.0143 0.5071 0.7569 (multiplicity 18)  2 Ge 3.17, 1 Br 3.31, 3 Te 3.32-3.45
3 Ge 0.0000 0.5000 0.5000 (multiplicity 9)  6 Ac 3.17-3.20
4 Te 0.0000 0.0000 0.0000 (multiplicity 3)  6 Ac 3.32
5 Te 0.0000 0.5000 0.0000 (multiplicity 9)  6 Ac 3.43-3.45
6 Br 0.0000 0.0000 0.5000 (multiplicity 3)  6 Ac 3.31

Summary:
- uncorrected formation energy (eV per atom) = -1.28

No. 15
Ir2Pt2Au: optimized geometry, PBE.

a = 7.7799 Å, b = 7.7799 Å, c = 2.7591 Å
α = 90.00°, β = 90.00°, γ = 90.00°
Closest atoms and distances in Å follow each position.
Space group P4/mbm (No. 127)
Symmetry-distinct sites (fractional):
1 Ir 0.1203 0.3797 0.0000 (multiplicity 4)  6 Pt 2.62-2.73, 3 Ir 2.65-2.76
2 Pt 0.1772 0.6772 0.5000 (multiplicity 4)  6 Ir 2.62-2.73, 2 Pt 2.76, 2 Au 2.86
3 Au 0.0000 0.0000 0.5000 (multiplicity 2)  2 Au 2.76, 4 Pt 2.86

Summary:
- relative energy among the computed polymorphs (meV per atom) = 0.0
- formation enthalpy at 0 K (eV/atom) = 0.322

No. 16
La4TbTh: optimized geometry, PBE.

a = 11.7321 Å, b = 3.5216 Å, c = 11.7122 Å
α = 90.00°, β = 118.30°, γ = 90.00°
Closest atoms and distances in Å follow each position.
Space group C2/m (No. 12)
Symmetry-distinct sites (fractional):
1 La 0.1538 0.0000 0.3424 (multiplicity 4)  7 La 3.52-3.75, 1 Tb 3.53, 3 Th 3.58-3.59
2 La 0.1644 0.5000 0.8397 (multiplicity 4)  3 Tb 3.47-3.71, 1 Th 3.50, 7 La 3.52-3.75
3 Tb 0.0000 0.0000 0.0000 (multiplicity 2)  8 La 3.47-3.71, 2 Tb 3.52
4 Th 0.0000 0.5000 0.5000 (multiplicity 2)  8 La 3.50-3.59, 2 Th 3.52

Summary:
- relative energy among the computed polymorphs (meV per atom) = 122.2
- formation enthalpy at 0 K (eV/atom) = 0.177

No. 17
Y2MgTeCl: optimized geometry, PBE.

a = 5.6409 Å, b = 5.6409 Å, c = 6.3497 Å
α = 90.00°, β = 90.00°, γ = 90.00°
Closest atoms and distances in Å follow each position.
Space group P4/mmm (No. 123)
Symmetry-distinct sites (fractional):
1 Y 0.0000 0.5000 0.0000 (multiplicity 2)  2 Te 2.82
2 Mg 0.0000 0.0000 0.5000 (multiplicity 1)  4 Cl 3.99, 8 Y 4.25
3 Te 0.5000 0.5000 0.0000 (multiplicity 1)  4 Y 2.82
4 Cl 0.5000 0.5000 0.5000 (multiplicity 1)  2 Te 3.17

Summary:
- uncorrected formation energy (eV per atom) = -0.02

No. 18
Tb7Te2Au2: optimized geometry, PBE.

a = 4.0644 Å, b = 15.7874 Å, c = 9.7756 Å
α = 90.00°, β = 90.00°, γ = 90.00°
Closest atoms and distances in Å follow each position.
Space group Imm2 (No. 44)
Symmetry-distinct sites (fractional):
1 Tb 0.0000 0.0000 0.0000 (multiplicity 2)  3 Te 3.25-3.31
2 Tb 0.0000 0.1258 0.5869 (multiplicity 4)  2 Au 2.97, 3 Te 3.14-3.21
3 Tb 0.0000 0.3166 0.3788 (multiplicity 4)  3 Au 2.94-3.20, 1 Te 3.20
4 Tb 0.0000 0.3601 0.7408 (multiplicity 4)  2 Au 3.00, 2 Te 3.15
5 Te 0.0000 0.0000 0.3384 (multiplicity 2)  7 Tb 3.14-3.31
6 Te 0.0000 0.5000 0.2402 (multiplicity 2)  8 Tb 3.20-3.25
7 Au 0.0000 0.2371 0.0780 (multiplicity 4)  7 Tb 2.94-3.20

Summary:
- uncorrected formation energy (eV per atom) = -0.83
- relative energy among the computed polymorphs (meV per atom) = 0.0

No. 19
ScP2Pt: optimized geometry, PBE.

a = 3.8159 Å, b = 5.6857 Å, c = 6.3560 Å
α = 90.00°, β = 90.00°, γ = 90.00°
Closest atoms and distances in Å follow each position.
Space group Cmmm (No. 65)
Symmetry-distinct sites (fractional):
1 Sc 0.0000 0.0000 0.0000 (multiplicity 2)  4 P 2.57
2 P 0.0000 0.5000 0.2718 (multiplicity 4)  2 Pt 2.40, 2 Sc 2.57
3 Pt 0.0000 0.0000 0.5000 (multiplicity 2)  4 P 2.40

Summary:
- relative energy among the computed polymorphs (meV per atom) = 340.3
- formation enthalpy at 0 K (eV/atom) = -0.536

No. 20
Ba3As2Pd4Pb2: optimized geometry, PBE.

a = 4.5804 Å, b = 4.5804 Å, c = 17.0190 Å
α = 90.00°, β = 90.00°, γ = 120.00°
Closest atoms and distances in Å follow each position.
Space group P-3m1 (No. 164)
Symmetry-distinct sites (fractional):
1 Ba 0.0000 0.0000 0.0000 (multiplicity 1)  6 Pd 3.48, 6 As 3.54
2 Ba 0.0000 0.0000 0.2606 (multiplicity 2)  3 As 3.36, 6 Pd 3.42-3.52
3 As 0.3333 0.6667 0.1387 (multiplicity 2)  3 Pd 2.65
4 Pd 0.3333 0.6667 0.3970 (multiplicity 2)  4 Pb 2.73-2.84
5 Pd 0.3333 0.6667 0.8669 (multiplicity 2)  3 As 2.65
6 Pb 0.3333 0.6667 0.5641 (multiplicity 2)  4 Pd 2.73-2.84

Summary:
- formation enthalpy at 0 K (eV/atom) = -0.645

One value per record, in order, for volume: 211.0 192.4 138.0 642.8 538.8 92.4 111.8 726.9 153.2 146.2 301.7 158.1 264.4 1740.1 167.0 426.1 202.0 627.3 137.9 309.2 Å³/cell.
One value per record, in order, for M_tot: 0.0 0.0 0.0 1.0 0.0 0.0 0.5 0.0 0.0 1.0 0.0 2.9 0.0 0.0 0.0 0.0 0.0 0.0 0.0 0.0 μB per formula unit.
One value per record, in order, for raw total energy: -7.602 -2.357 -5.038 -4.919 -6.841 -6.829 -4.870 -2.254 -7.025 -8.854 -5.837 -3.797 -4.434 -5.093 -6.294 -5.116 -3.926 -4.944 -6.334 -4.577 eV/atom.